Density functional theory data (PBE-GGA) for an optimized crystal structure of Pu5Bi2Te2.

a = 8.3650 Å, b = 8.3302 Å, c = 8.9366 Å
α = 117.78°, β = 90.00°, γ = 90.00°
Closest atoms and distances in Å follow each position.
Sites, in units of the cell vectors:
Bi  0.6470  0.8536  0.0000  8 Pu 3.19-3.36, 1 Bi 3.46
Bi  0.1470  0.6464  0.0000  8 Pu 3.19-3.36, 1 Bi 3.46
Bi  0.3530  0.1464  0.0000  8 Pu 3.19-3.36, 1 Bi 3.46
Bi  0.8530  0.3536  0.0000  8 Pu 3.19-3.36, 1 Bi 3.46
Pu  0.1542  0.4817  0.2788  3 Te 3.16-3.31, 3 Bi 3.21-3.36
Pu  0.8458  0.7972  0.2788  3 Te 3.16-3.31, 3 Bi 3.21-3.36
Pu  0.3458  0.9817  0.2788  3 Te 3.16-3.31, 3 Bi 3.21-3.36
Pu  0.3458  0.7028  0.7212  3 Te 3.16-3.31, 3 Bi 3.21-3.36
Pu  0.8458  0.5183  0.7212  3 Te 3.16-3.31, 3 Bi 3.21-3.36
Pu  0.5000  0.5000  0.0000  2 Te 3.13, 4 Bi 3.19
Pu  0.6542  0.2972  0.2788  3 Te 3.16-3.31, 3 Bi 3.21-3.36
Pu  0.0000  0.0000  0.0000  2 Te 3.13, 4 Bi 3.19
Pu  0.6542  0.0183  0.7212  3 Te 3.16-3.31, 3 Bi 3.21-3.36
Pu  0.1542  0.2028  0.7212  3 Te 3.16-3.31, 3 Bi 3.21-3.36
Te  0.0000  0.1981  0.3961  7 Pu 3.13-3.31
Te  0.0000  0.8019  0.6039  7 Pu 3.13-3.31
Te  0.5000  0.6981  0.3961  7 Pu 3.13-3.31
Te  0.5000  0.3019  0.6039  7 Pu 3.13-3.31

## Properties
The uncorrected formation energy is -0.62 eV per atom. As for the space group: Cmce. As for the density of states at the Fermi level: 5.0082 states/eV per atom. The value obtained for the total energy is -10.14 eV/atom.